This record from Alexandria via LeMat-Bulk describes crystalline Ru2WBr at its relaxed geometry. The functional is PBE.

Cell lengths 4.6830, 4.6830, 4.6830 Å; angles 127.20, 127.20, 77.93 degrees
Atoms (fractional coordinates):
W1 0.2500 0.7500 0.5000
Ru1 0.5000 0.5000 0.0000
Br1 0.7500 0.2500 0.5000
Ru2 0.0000 0.0000 0.0000

calculated total energy = -7.270 eV/atom
ΔE to the lowest computed polymorph = 589 meV/atom
energy relative to the elements, uncorrected = 1025 meV/atom

---

This record from Alexandria via LeMat-Bulk describes crystalline PaAg2I6 at its relaxed geometry. The functional is PBE.

Cell lengths 7.8258, 7.8258, 8.8259 Å; angles 63.68, 63.68, 60.00 degrees
Atoms (fractional coordinates):
I1 0.4013 0.1072 0.7588
Ag1 0.5989 0.5989 0.2034
Pa1 0.3334 0.3334 0.9999
I2 0.5740 0.9468 0.2400
I3 0.2392 0.5740 0.2400
I4 0.9468 0.2392 0.2400
Ag2 0.7323 0.7323 0.8032
I5 0.7327 0.4013 0.7588
I6 0.1072 0.7327 0.7588

calculated total energy = -3.338 eV/atom
energy relative to the elements, uncorrected = -616 meV/atom

---

This record from Alexandria via LeMat-Bulk describes crystalline CdAgH6Ir at its relaxed geometry. The functional is PBE.

Cell lengths 5.0146, 5.5798, 4.9031 Å; angles 90.69, 65.79, 54.21 degrees
Atoms (fractional coordinates):
H1 0.9755 0.5494 0.8764
H2 0.4035 0.5732 0.3324
Ag1 0.6463 0.6819 0.4904
H3 0.5652 0.3815 0.7104
H4 0.1817 0.3205 0.3137
H5 0.8393 0.0509 0.2369
Cd1 0.7561 0.9973 0.8576
H6 0.2522 0.1154 0.6648
Ir1 0.3800 0.3300 0.5174

calculated total energy = -3.646 eV/atom

---

This record from Alexandria via LeMat-Bulk describes crystalline IrOsBr2 at its relaxed geometry. The functional is PBE.

Cell lengths 5.4518, 5.4518, 3.0498 Å; angles 71.51, 71.51, 110.40 degrees
Atoms (fractional coordinates):
Ir1 0.5000 0.0000 0.5000
Os1 0.0000 0.5000 0.5000
Br1 0.5000 0.5000 0.0000
Br2 0.0000 0.0000 0.0000

calculated total energy = -4.524 eV/atom
ΔE to the lowest computed polymorph = 942 meV/atom
energy relative to the elements, uncorrected = 1335 meV/atom

---

This record from Alexandria via LeMat-Bulk describes crystalline Dy2MnP4Ir3 at its relaxed geometry. The functional is PBE.

Cell lengths 4.1342, 4.1342, 9.3434 Å; angles 90.00, 90.00, 90.00 degrees
Atoms (fractional coordinates):
Ir1 0.0000 0.5000 0.1185
Dy1 0.5000 0.0000 0.2421
Mn1 0.5000 0.5000 0.5000
Ir2 0.0000 0.0000 0.5000
P1 0.5000 0.5000 0.0000
Dy2 0.0000 0.5000 0.7579
P2 0.5000 0.0000 0.6262
P3 0.0000 0.0000 0.0000
Ir3 0.5000 0.0000 0.8815
P4 0.0000 0.5000 0.3738

calculated total energy = -7.604 eV/atom

---

This record from Alexandria via LeMat-Bulk describes crystalline YPa2AgO8 at its relaxed geometry. The functional is PBE.

Cell lengths 5.4129, 5.4129, 6.6211 Å; angles 114.13, 114.13, 90.00 degrees
Atoms (fractional coordinates):
Pa1 0.2500 0.7500 0.5000
O1 0.1380 0.1274 0.7459
O2 0.3814 0.3917 0.2537
Ag1 0.0000 0.0000 0.0000
O3 0.8726 0.3921 0.2541
O4 0.6079 0.6185 0.7459
O5 0.8723 0.8620 0.2537
O6 0.3815 0.8620 0.2541
Pa2 0.5000 0.5000 0.0000
O7 0.1380 0.6186 0.7463
O8 0.6083 0.1277 0.7463
Y1 0.7500 0.2500 0.5000

calculated total energy = -8.446 eV/atom
energy relative to the elements, uncorrected = -2782 meV/atom

---

This record from Alexandria via LeMat-Bulk describes crystalline TbHo6Tm8 at its relaxed geometry. The functional is PBE.

Cell lengths 6.4086, 9.2872, 9.2872 Å; angles 120.00, 90.00, 90.00 degrees
Atoms (fractional coordinates):
Tm1 0.9051 0.3373 0.0244
Ho1 0.5896 0.9028 0.5841
Tm2 0.9051 0.6871 0.6627
Tm3 0.8371 0.3333 0.6667
Tm4 0.0949 0.0244 0.6871
Tm5 0.1629 0.6667 0.3333
Ho2 0.4104 0.3187 0.9028
Tm6 0.9051 0.9756 0.3129
Tm7 0.0949 0.6627 0.9756
Ho3 0.5896 0.4159 0.3187
Ho4 0.4104 0.0972 0.4159
Ho5 0.4104 0.5841 0.6813
Tb1 0.5000 0.0000 0.0000
Ho6 0.5896 0.6813 0.0972
Tm8 0.0949 0.3129 0.3373

calculated total energy = -4.281 eV/atom

---

This record from Alexandria via LeMat-Bulk describes crystalline PmInSn4 at its relaxed geometry. The functional is PBE.

Cell lengths 5.0947, 6.2494, 5.7622 Å; angles 87.78, 90.00, 114.06 degrees
Atoms (fractional coordinates):
Sn1 0.8395 0.6790 0.4901
Sn2 0.6888 0.3776 0.9341
In1 0.5000 0.0000 0.5000
Pm1 0.0000 0.0000 0.0000
Sn3 0.3112 0.6224 0.0659
Sn4 0.1605 0.3210 0.5099

calculated total energy = -4.123 eV/atom
ΔE to the lowest computed polymorph = 0 meV/atom